Below is an optimized crystal structure of NaEr2Se, with properties calculated at the PBE-GGA level.

Results
As for the uncorrected formation energy: -0.56 eV/atom. The calculation puts the density of states at the Fermi level at 3.77 states/eV/f.u. The calculation puts the magnetization at 0.000 μB per formula unit. The electronic total energy comes out at -4.0383 eV per atom.

Lattice parameters (Å, degrees): 10.7583 10.7583 10.7583 20.00 20.00 20.00
Fractional coordinates of all 4 atoms:
Na 0.0000 0.0000 0.0000
Er 0.1104 0.1104 0.1104
Er 0.8896 0.8896 0.8896
Se 0.5000 0.5000 0.5000



Below is an optimized crystal structure of NaEr4Se6, with properties calculated at the PBE-GGA level.

Results
As for the uncorrected formation energy: -1.74 eV/atom. The calculation puts the density of states at the Fermi level at 2.41 states/eV/f.u. The calculation puts the magnetization at 0.000 μB per formula unit. The electronic total energy comes out at -5.4169 eV per atom.

Lattice parameters (Å, degrees): 7.0171 7.0171 21.1610 90.00 90.00 146.45
Fractional coordinates of all 22 atoms:
Na 0.1581 0.8419 0.7500
Na 0.8419 0.1581 0.2500
Er 0.0950 0.9050 0.1360
Er 0.0950 0.9050 0.3640
Er 0.3665 0.6335 0.0428
Er 0.3665 0.6335 0.4572
Er 0.6335 0.3665 0.5428
Er 0.6335 0.3665 0.9572
Er 0.9050 0.0950 0.6360
Er 0.9050 0.0950 0.8640
Se 0.0000 0.0000 0.0000
Se 0.0000 0.0000 0.5000
Se 0.1833 0.8167 0.2500
Se 0.2738 0.7262 0.5811
Se 0.2738 0.7262 0.9189
Se 0.4575 0.5425 0.1600
Se 0.4575 0.5425 0.3400
Se 0.5425 0.4575 0.6600
Se 0.5425 0.4575 0.8400
Se 0.7262 0.2738 0.0811
Se 0.7262 0.2738 0.4189
Se 0.8167 0.1833 0.7500



Below is an optimized crystal structure of NaEr5Se6, with properties calculated at the PBE-GGA level.

Results
As for the uncorrected formation energy: -1.70 eV/atom. The calculation puts the density of states at the Fermi level at 4.95 states/eV/f.u. The calculation puts the magnetization at 0.000 μB per formula unit. The electronic total energy comes out at -5.4501 eV per atom.

Lattice parameters (Å, degrees): 7.0053 7.0053 7.0473 99.58 99.58 120.01
Fractional coordinates of all 12 atoms:
Na 0.0000 0.0000 0.0000
Er 0.1627 0.8373 0.5000
Er 0.3345 0.6655 0.0000
Er 0.5000 0.5000 0.5000
Er 0.6655 0.3345 0.0000
Er 0.8373 0.1627 0.5000
Se 0.0837 0.4190 0.2527
Se 0.2507 0.2507 0.7539
Se 0.4190 0.0837 0.2527
Se 0.5810 0.9163 0.7473
Se 0.7493 0.7493 0.2461
Se 0.9163 0.5810 0.7473